No. 1
This record from Alexandria via LeMat-Bulk describes a relaxed structure of Pr8CoRu3Cl4. The functional is PBE.

abc: 8.1167 8.9922 8.1168
angles: 116.84 120.00 90.00
With the nearest neighbours (Å) after each atom.
Atoms (fractional coordinates):
Pr 0.2338 0.7050 0.9713  1 Co 2.81, 2 Ru 2.83
Pr 0.2337 0.7051 0.4675  1 Co 2.81, 2 Ru 2.83
Pr 0.2640 0.2922 0.5279  3 Ru 2.83
Pr 0.7375 0.7050 0.9713  1 Co 2.81, 2 Ru 2.83
Pr 0.2625 0.2950 0.0287  1 Co 2.81, 2 Ru 2.83
Pr 0.7360 0.7078 0.4721  3 Ru 2.83
Pr 0.7663 0.2949 0.5325  1 Co 2.81, 2 Ru 2.83
Pr 0.7662 0.2950 0.0287  1 Co 2.81, 2 Ru 2.83
Co 0.0000 0.5000 0.0000  6 Pr 2.81
Ru 0.5000 0.5000 0.0000  6 Pr 2.83
Ru 0.5000 0.5000 0.5000  6 Pr 2.83
Ru 0.0000 0.5000 0.5000  6 Pr 2.83
Cl 0.5000 0.0000 0.0000  6 Pr 3.27
Cl 0.5000 0.0000 0.5000  6 Pr 3.24-3.25
Cl 0.0000 0.0000 0.0000  6 Pr 3.24-3.25
Cl 0.0000 0.0000 0.5000  6 Pr 3.24-3.25

DOS(E_F), states/eV/f.u.: 9.2
Electronic total energy, eV per cell: -93.98
Symmetry: R-3m (166)
Formation energy without anion corrections, kJ/mol of atoms: -81.0

No. 2
This record from Alexandria via LeMat-Bulk describes a relaxed structure of Pr8Co3RuCl4. The functional is PBE.

abc: 8.0007 8.9558 7.9987
angles: 116.53 120.01 90.00
With the nearest neighbours (Å) after each atom.
Atoms (fractional coordinates):
Pr 0.2368 0.7051 0.9687  2 Co 2.78-2.79, 1 Ru 2.81
Pr 0.2368 0.7052 0.4735  2 Co 2.79, 1 Ru 2.81
Pr 0.2671 0.3020 0.5343  3 Co 2.76-2.77
Pr 0.7319 0.7051 0.9687  2 Co 2.78-2.79, 1 Ru 2.81
Pr 0.2681 0.2949 0.0313  2 Co 2.78-2.79, 1 Ru 2.81
Pr 0.7329 0.6980 0.4657  3 Co 2.76-2.77
Pr 0.7632 0.2948 0.5265  2 Co 2.79, 1 Ru 2.81
Pr 0.7632 0.2949 0.0313  2 Co 2.78-2.79, 1 Ru 2.81
Co 0.5000 0.5000 0.0000  6 Pr 2.77-2.78
Co 0.5000 0.5000 0.5000  6 Pr 2.76-2.79
Co 0.0000 0.5000 0.5000  6 Pr 2.76-2.79
Ru 0.0000 0.5000 0.0000  6 Pr 2.81
Cl 0.5000 0.0000 0.0000  6 Pr 3.22
Cl 0.5000 0.0000 0.5000  6 Pr 3.24-3.27
Cl 0.0000 0.0000 0.0000  6 Pr 3.24-3.27
Cl 0.0000 0.0000 0.5000  6 Pr 3.24-3.27

DOS(E_F), states/eV/f.u.: 5.1
Electronic total energy, eV per cell: -89.53
Symmetry: R-3m (166)
Formation energy without anion corrections, kJ/mol of atoms: -80.3

No. 3
This record from Alexandria via LeMat-Bulk describes a relaxed structure of Pr6CoRu2Cl3. The functional is PBE.

abc: 6.9983 6.9983 8.0384
angles: 98.36 98.36 119.99
With the nearest neighbours (Å) after each atom.
Atoms (fractional coordinates):
Pr 0.9315 0.6032 0.7946  1 Co 2.79, 2 Ru 2.83-2.84
Pr 0.7408 0.7408 0.2058  1 Co 2.79, 2 Ru 2.83
Pr 0.0685 0.3968 0.2054  1 Co 2.79, 2 Ru 2.83-2.84
Pr 0.6032 0.9315 0.7946  1 Co 2.79, 2 Ru 2.83-2.84
Pr 0.2592 0.2592 0.7942  1 Co 2.79, 2 Ru 2.83
Pr 0.3968 0.0685 0.2054  1 Co 2.79, 2 Ru 2.83-2.84
Co 0.0000 0.0000 0.0000  6 Pr 2.79
Ru 0.3337 0.6663 0.0000  6 Pr 2.83-2.84
Ru 0.6663 0.3337 0.0000  6 Pr 2.83-2.84
Cl 0.1682 0.8318 0.5000  6 Pr 3.24-3.27
Cl 0.8318 0.1682 0.5000  6 Pr 3.24-3.27
Cl 0.5000 0.5000 0.5000  6 Pr 3.24-3.28

DOS(E_F), states/eV/f.u.: 5.5
Electronic total energy, eV per cell: -69.98
Symmetry: C2/m (12)
Formation energy without anion corrections, kJ/mol of atoms: -81.2

No. 4
This record from Alexandria via LeMat-Bulk describes a relaxed structure of Pr6Co2RuCl3. The functional is PBE.

abc: 4.0037 8.9681 9.8146
angles: 111.45 101.77 90.00
With the nearest neighbours (Å) after each atom.
Atoms (fractional coordinates):
Pr 0.3423 0.8884 0.6846  2 Co 2.79, 1 Ru 2.81
Pr 0.6782 0.5569 0.3565  3 Co 2.74-2.77
Pr 0.6577 0.1116 0.3154  2 Co 2.79, 1 Ru 2.81
Pr 0.0110 0.2300 0.0219  1 Co 2.81, 2 Ru 2.83
Pr 0.9890 0.7700 0.9781  1 Co 2.81, 2 Ru 2.83
Pr 0.3218 0.4431 0.6435  3 Co 2.74-2.77
Co 0.8315 0.6636 0.6630  6 Pr 2.74-2.81
Co 0.1685 0.3364 0.3370  6 Pr 2.74-2.81
Ru 0.5000 0.0000 0.0000  6 Pr 2.81-2.83
Cl 0.5000 0.5000 0.0000  6 Pr 3.21-3.27
Cl 0.8340 0.1674 0.6680  6 Pr 3.23-3.26
Cl 0.1660 0.8326 0.3320  6 Pr 3.23-3.26

DOS(E_F), states/eV/f.u.: 4.4
Electronic total energy, eV per cell: -67.72
Symmetry: C2/m (12)
Formation energy without anion corrections, kJ/mol of atoms: -80.6

No. 5
This record from Alexandria via LeMat-Bulk describes a relaxed structure of Pr8Co3SCl4. The functional is PBE.

abc: 8.1337 8.7913 8.1334
angles: 117.56 120.00 90.00
With the nearest neighbours (Å) after each atom.
Atoms (fractional coordinates):
Pr 0.2422 0.7061 0.9640  2 Co 2.76, 1 S 2.88
Pr 0.2422 0.7061 0.4844  2 Co 2.76, 1 S 2.88
Pr 0.2665 0.2998 0.5331  3 Co 2.78
Pr 0.7218 0.7061 0.9640  2 Co 2.76, 1 S 2.88
Pr 0.2782 0.2939 0.0360  2 Co 2.76, 1 S 2.88
Pr 0.7335 0.7002 0.4669  3 Co 2.78
Pr 0.7578 0.2939 0.5156  2 Co 2.76, 1 S 2.88
Pr 0.7578 0.2939 0.0360  2 Co 2.76, 1 S 2.88
Co 0.5000 0.5000 0.0000  6 Pr 2.76-2.78
Co 0.5000 0.5000 0.5000  6 Pr 2.76-2.78
Co 0.0000 0.5000 0.5000  6 Pr 2.76-2.78
S 0.0000 0.5000 0.0000  6 Pr 2.88
Cl 0.5000 0.0000 0.0000  6 Pr 3.14
Cl 0.5000 0.0000 0.5000  6 Pr 3.24
Cl 0.0000 0.0000 0.0000  6 Pr 3.24
Cl 0.0000 0.0000 0.5000  6 Pr 3.24

DOS(E_F), states/eV/f.u.: 9.4
Electronic total energy, eV per cell: -87.57
Symmetry: R-3m (166)
Formation energy without anion corrections, kJ/mol of atoms: -99.5

No. 6
This record from Alexandria via LeMat-Bulk describes a relaxed structure of Pr8CoS3Cl4. The functional is PBE.

abc: 8.2370 8.4832 8.2369
angles: 119.04 120.00 90.00
With the nearest neighbours (Å) after each atom.
Atoms (fractional coordinates):
Pr 0.2308 0.7142 0.9834  1 Co 2.73, 2 S 2.86
Pr 0.2309 0.7143 0.4618  1 Co 2.73, 2 S 2.86
Pr 0.2611 0.2834 0.5222  3 S 2.82, 3 Cl 3.10
Pr 0.7525 0.7142 0.9834  1 Co 2.73, 2 S 2.86
Pr 0.2475 0.2858 0.0166  1 Co 2.73, 2 S 2.86
Pr 0.7389 0.7166 0.4778  3 S 2.82, 3 Cl 3.10
Pr 0.7691 0.2857 0.5382  1 Co 2.73, 2 S 2.86
Pr 0.7692 0.2858 0.0166  1 Co 2.73, 2 S 2.86
Co 0.0000 0.5000 0.0000  6 Pr 2.73
S 0.5000 0.5000 0.0000  6 Pr 2.82-2.86
S 0.5000 0.5000 0.5000  6 Pr 2.82-2.86
S 0.0000 0.5000 0.5000  6 Pr 2.82-2.86
Cl 0.5000 0.0000 0.0000  6 Pr 3.19
Cl 0.5000 0.0000 0.5000  6 Pr 3.07-3.10
Cl 0.0000 0.0000 0.0000  6 Pr 3.07-3.10
Cl 0.0000 0.0000 0.5000  6 Pr 3.07-3.10

DOS(E_F), states/eV/f.u.: 11.5
Electronic total energy, eV per cell: -89.09
Symmetry: R-3m (166)
Formation energy without anion corrections, kJ/mol of atoms: -144.6

No. 7
This record from Alexandria via LeMat-Bulk describes a relaxed structure of Pr6CoS2Cl3. The functional is PBE.

abc: 7.1752 7.1752 7.2902
angles: 99.52 99.52 119.78
With the nearest neighbours (Å) after each atom.
Atoms (fractional coordinates):
Pr 0.9272 0.6099 0.7827  1 Co 2.73, 2 S 2.87-2.88, 1 Cl 3.04
Pr 0.7525 0.7525 0.2256  1 Co 2.80, 2 S 2.88, 3 Cl 3.09-3.11
Pr 0.0728 0.3901 0.2173  1 Co 2.73, 2 S 2.87-2.88, 1 Cl 3.04
Pr 0.6099 0.9272 0.7827  1 Co 2.73, 2 S 2.87-2.88, 1 Cl 3.04
Pr 0.2475 0.2475 0.7744  1 Co 2.80, 2 S 2.88, 3 Cl 3.09-3.11
Pr 0.3901 0.0728 0.2173  1 Co 2.73, 2 S 2.87-2.88, 1 Cl 3.04
Co 0.0000 0.0000 0.0000  6 Pr 2.73-2.80
S 0.3335 0.6665 0.0000  6 Pr 2.87-2.88
S 0.6665 0.3335 0.0000  6 Pr 2.87-2.88
Cl 0.1745 0.8255 0.5000  6 Pr 3.05-3.11
Cl 0.8255 0.1745 0.5000  6 Pr 3.05-3.11
Cl 0.5000 0.5000 0.5000  6 Pr 3.04-3.11

DOS(E_F), states/eV/f.u.: 8.1
Electronic total energy, eV per cell: -66.61
Symmetry: C2/m (12)
Formation energy without anion corrections, kJ/mol of atoms: -136.9

No. 8
This record from Alexandria via LeMat-Bulk describes a relaxed structure of Pr3CoSeCl. The functional is PBE.

abc: 3.9074 7.9780 10.8518
angles: 109.48 90.00 90.00
With the nearest neighbours (Å) after each atom.
Atoms (fractional coordinates):
Pr 0.7500 0.8508 0.0804  3 Co 3.00-3.03, 3 Se 3.11-3.22, 1 Cl 3.20
Pr 0.2500 0.1492 0.9196  3 Co 3.00-3.03, 3 Se 3.11-3.22, 1 Cl 3.20
Pr 0.2500 0.7467 0.5452  3 Cl 2.98-3.05, 2 Se 3.11
Pr 0.7500 0.2533 0.4548  3 Cl 2.98-3.05, 2 Se 3.11
Pr 0.7500 0.4637 0.2204  3 Co 2.77-3.03, 1 Cl 2.96
Pr 0.2500 0.5363 0.7796  3 Co 2.77-3.03, 1 Cl 2.96
Co 0.2500 0.5517 0.0380  2 Co 2.17
Co 0.7500 0.4483 0.9620  2 Co 2.17
Se 0.2500 0.1586 0.2187  7 Pr 3.11-3.22
Se 0.7500 0.8414 0.7813  7 Pr 3.11-3.22
Cl 0.2500 0.1519 0.6257  5 Pr 2.96-3.20
Cl 0.7500 0.8481 0.3743  5 Pr 2.96-3.20

DOS(E_F), states/eV/f.u.: 4.1
Electronic total energy, eV per cell: -65.95
Symmetry: P2_1/m (11)
Formation energy without anion corrections, kJ/mol of atoms: -99.7

No. 9
This record from Alexandria via LeMat-Bulk describes a relaxed structure of Pr8Co3SiCl4. The functional is PBE.

abc: 8.1782 8.8512 8.1812
angles: 117.55 119.99 90.00
With the nearest neighbours (Å) after each atom.
Atoms (fractional coordinates):
Pr 0.2428 0.7062 0.9642  2 Co 2.78, 1 Si 2.90
Pr 0.2426 0.7056 0.4852  2 Co 2.78, 1 Si 2.91
Pr 0.2645 0.2938 0.5290  3 Co 2.82
Pr 0.7214 0.7062 0.9642  2 Co 2.78, 1 Si 2.90
Pr 0.2786 0.2938 0.0358  2 Co 2.78, 1 Si 2.90
Pr 0.7355 0.7062 0.4710  3 Co 2.82
Pr 0.7574 0.2944 0.5148  2 Co 2.78, 1 Si 2.91
Pr 0.7572 0.2938 0.0358  2 Co 2.78, 1 Si 2.90
Co 0.5000 0.5000 0.0000  6 Pr 2.78-2.82
Co 0.5000 0.5000 0.5000  6 Pr 2.78-2.82
Co 0.0000 0.5000 0.5000  6 Pr 2.78-2.82
Si 0.0000 0.5000 0.0000  6 Pr 2.90-2.91
Cl 0.5000 0.0000 0.0000  6 Pr 3.15
Cl 0.5000 0.0000 0.5000  6 Pr 3.23-3.27
Cl 0.0000 0.0000 0.0000  6 Pr 3.23-3.27
Cl 0.0000 0.0000 0.5000  6 Pr 3.23-3.27

DOS(E_F), states/eV/f.u.: 12.7
Electronic total energy, eV per cell: -86.07
Symmetry: R-3m (166)
Formation energy without anion corrections, kJ/mol of atoms: -82.7

No. 10
This record from Alexandria via LeMat-Bulk describes a relaxed structure of Pr3CoTeCl. The functional is PBE.

abc: 4.0325 8.1651 11.0378
angles: 109.80 90.00 90.00
With the nearest neighbours (Å) after each atom.
Atoms (fractional coordinates):
Pr 0.7500 0.8370 0.0786  3 Co 2.96-3.02, 1 Cl 3.24, 2 Te 3.26
Pr 0.2500 0.1630 0.9214  3 Co 2.96-3.02, 1 Cl 3.24, 2 Te 3.26
Pr 0.2500 0.7371 0.5323  3 Cl 3.00-3.18, 2 Te 3.25
Pr 0.7500 0.2629 0.4677  3 Cl 3.00-3.18, 2 Te 3.25
Pr 0.7500 0.4718 0.2193  3 Co 2.78-3.05, 1 Cl 2.98
Pr 0.2500 0.5282 0.7807  3 Co 2.78-3.05, 1 Cl 2.98
Co 0.2500 0.5472 0.0372  2 Co 2.21
Co 0.7500 0.4528 0.9628  2 Co 2.21
Te 0.2500 0.1575 0.2222  7 Pr 3.25-3.34
Te 0.7500 0.8425 0.7778  7 Pr 3.25-3.34
Cl 0.2500 0.1503 0.6247  5 Pr 2.98-3.24
Cl 0.7500 0.8497 0.3753  5 Pr 2.98-3.24

DOS(E_F), states/eV/f.u.: 4.3
Electronic total energy, eV per cell: -64.01
Symmetry: P2_1/m (11)
Formation energy without anion corrections, kJ/mol of atoms: -89.6